Here is crystalline KCd7Hg12 at its relaxed geometry from the Alexandria database. Energies are from PBE.

Cell lengths 9.5179, 9.5179, 9.5179 Å; angles 109.47, 109.47, 109.47 degrees
With the nearest neighbours (Å) after each atom.
Fractional coordinates of all 20 atoms:
K 0.0000 0.0000 0.0000  12 Hg 3.68
Cd 0.5000 0.0000 0.5000  4 Hg 2.96
Cd 0.5000 0.5000 0.0000  4 Hg 2.96
Cd 0.0000 0.5000 0.5000  4 Hg 2.96
Cd 0.0000 0.0000 0.5000  6 Hg 2.92
Cd 0.5000 0.0000 0.0000  6 Hg 2.92
Cd 0.5000 0.5000 0.5000  6 Hg 2.92
Cd 0.0000 0.5000 0.0000  6 Hg 2.92
Hg 0.2895 0.1686 0.4581  3 Cd 2.92-2.96
Hg 0.2895 0.8314 0.1209  3 Cd 2.92-2.96
Hg 0.7105 0.8314 0.5419  3 Cd 2.92-2.96
Hg 0.7105 0.1686 0.8791  3 Cd 2.92-2.96
Hg 0.4581 0.2895 0.1686  3 Cd 2.92-2.96
Hg 0.8791 0.7105 0.1686  3 Cd 2.92-2.96
Hg 0.5419 0.7105 0.8314  3 Cd 2.92-2.96
Hg 0.1209 0.2895 0.8314  3 Cd 2.92-2.96
Hg 0.8314 0.1209 0.2895  3 Cd 2.92-2.96
Hg 0.1686 0.8791 0.7105  3 Cd 2.92-2.96
Hg 0.1686 0.4581 0.2895  3 Cd 2.92-2.96
Hg 0.8314 0.5419 0.7105  3 Cd 2.92-2.96

SG: Im-3
Final energy in eV per cell: -10.1
V in Å³ per cell: 664


Here is crystalline K2Cd5Hg3 at its relaxed geometry from the Alexandria database. Energies are from PBE.

Cell lengths 6.9691, 10.0040, 10.0040 Å; angles 72.90, 69.62, 69.62 degrees
With the nearest neighbours (Å) after each atom.
Fractional coordinates of all 20 atoms:
K 0.1279 0.6434 0.1007  6 Hg 3.67-3.90, 10 Cd 3.81-4.11
K 0.6279 0.1007 0.6434  6 Hg 3.67-3.90, 10 Cd 3.81-4.11
K 0.8721 0.3566 0.8993  6 Hg 3.67-3.90, 10 Cd 3.81-4.11
K 0.3721 0.8993 0.3566  6 Hg 3.67-3.90, 10 Cd 3.81-4.11
Cd 0.3556 0.2445 0.0443  3 Hg 2.88-2.97, 2 Cd 2.95
Cd 0.8556 0.0443 0.2445  3 Hg 2.88-2.97, 2 Cd 2.95
Cd 0.6444 0.7555 0.9557  3 Hg 2.88-2.97, 2 Cd 2.95
Cd 0.1444 0.9557 0.7555  3 Hg 2.88-2.97, 2 Cd 2.95
Cd 0.5369 0.7131 0.7131  3 Cd 2.95-3.09, 2 Hg 3.00
Cd 0.4631 0.2869 0.2869  3 Cd 2.95-3.09, 2 Hg 3.00
Cd 0.7500 0.5000 0.5000  4 Hg 3.03, 2 Cd 3.09
Cd 0.2500 0.5000 0.5000  4 Hg 3.03, 2 Cd 3.09
Cd 0.9631 0.2869 0.2869  3 Cd 2.95-3.09, 2 Hg 3.00
Cd 0.0369 0.7131 0.7131  3 Cd 2.95-3.09, 2 Hg 3.00
Hg 0.3914 0.4471 0.7701  5 Cd 2.88-3.03
Hg 0.8914 0.7701 0.4471  5 Cd 2.88-3.03
Hg 0.6086 0.5529 0.2299  5 Cd 2.88-3.03
Hg 0.1086 0.2299 0.5529  5 Cd 2.88-3.03
Hg 0.2500 0.0000 0.0000  4 Cd 2.97
Hg 0.7500 0.0000 0.0000  4 Cd 2.97

SG: Ibam
Final energy in eV per cell: -18.0
V in Å³ per cell: 601


Here is crystalline KCdHg at its relaxed geometry from the Alexandria database. Energies are from PBE.

Cell lengths 5.2793, 6.6899, 6.6899 Å; angles 86.55, 66.52, 66.52 degrees
With the nearest neighbours (Å) after each atom.
Fractional coordinates of all 6 atoms:
K 0.2341 0.8182 0.8182  6 Hg 3.64-3.70, 6 Cd 3.65-3.71, 1 K 4.00
K 0.7240 0.3275 0.3275  6 Hg 3.63-3.69, 6 Cd 3.65-3.69, 1 K 4.00
Cd 0.4744 0.9128 0.2426  1 Cd 3.02, 2 Hg 3.04
Cd 0.4744 0.2426 0.9128  1 Cd 3.02, 2 Hg 3.04
Hg 0.9848 0.3961 0.7382  2 Cd 3.04, 1 Hg 3.14
Hg 0.9848 0.7382 0.3961  2 Cd 3.04, 1 Hg 3.14

SG: Cm
Excess energy over the best structure of this formula in the dataset in eV/atom: 0.023
Final energy in eV per cell: -5.6
V in Å³ per cell: 197


Here is crystalline KCd4Hg2 at its relaxed geometry from the Alexandria database. Energies are from PBE.

Cell lengths 4.5413, 4.6726, 9.3112 Å; angles 104.53, 90.00, 90.00 degrees
With the nearest neighbours (Å) after each atom.
Fractional coordinates of all 7 atoms:
K 0.0000 0.0000 0.0000  8 Hg 3.57
Hg 0.5000 0.5811 0.1623  1 Hg 2.93, 4 Cd 3.01-3.02
Hg 0.5000 0.4189 0.8377  1 Hg 2.93, 4 Cd 3.01-3.02
Cd 0.5000 0.8140 0.6279  2 Hg 3.01, 8 Cd 3.16-3.28
Cd 0.0000 0.6919 0.3837  2 Hg 3.02, 8 Cd 3.14-3.26
Cd 0.5000 0.1860 0.3721  2 Hg 3.01, 8 Cd 3.16-3.28
Cd 0.0000 0.3081 0.6163  2 Hg 3.02, 8 Cd 3.14-3.26

SG: Cmmm
Excess energy over the best structure of this formula in the dataset in eV/atom: 0.000
Final energy in eV per cell: -6.1
V in Å³ per cell: 191


Here is crystalline KCdHg3 at its relaxed geometry from the Alexandria database. Energies are from PBE.

Cell lengths 5.6927, 5.6927, 5.6927 Å; angles 90.00, 90.00, 90.00 degrees
With the nearest neighbours (Å) after each atom.
Fractional coordinates of all 5 atoms:
K 0.5000 0.5000 0.5000  12 Hg 4.03
Hg 0.0000 0.5000 0.0000  2 Cd 2.85
Hg 0.0000 0.0000 0.5000  2 Cd 2.85
Hg 0.5000 0.0000 0.0000  2 Cd 2.85
Cd 0.0000 0.0000 0.0000  6 Hg 2.85

SG: Pm-3m
Excess energy over the best structure of this formula in the dataset in eV/atom: 0.086
Final energy in eV per cell: -3.3
V in Å³ per cell: 184


Here is crystalline K2Cd6Hg3 at its relaxed geometry from the Alexandria database. Energies are from PBE.

Cell lengths 4.5049, 9.0527, 9.0527 Å; angles 120.00, 90.00, 90.00 degrees
With the nearest neighbours (Å) after each atom.
Fractional coordinates of all 11 atoms:
K 0.0000 0.6667 0.3333  6 Hg 3.55, 3 Cd 3.83
K 0.0000 0.3333 0.6667  6 Hg 3.55, 3 Cd 3.83
Cd 0.5000 0.7322 0.7322  3 Hg 2.92-3.26, 4 Cd 3.12
Cd 0.5000 0.0000 0.2678  3 Hg 2.92-3.26, 4 Cd 3.12
Cd 0.0000 0.1913 0.1913  2 Hg 2.99, 6 Cd 3.00-3.12
Cd 0.0000 0.8087 0.0000  2 Hg 2.99, 6 Cd 3.00-3.12
Cd 0.5000 0.2678 0.0000  3 Hg 2.92-3.26, 4 Cd 3.12
Cd 0.0000 0.0000 0.8087  2 Hg 2.99, 6 Cd 3.00-3.12
Hg 0.5000 0.4093 0.4093  5 Cd 2.92-3.26
Hg 0.5000 0.5907 0.0000  5 Cd 2.92-3.26
Hg 0.5000 0.0000 0.5907  5 Cd 2.92-3.26

SG: P-62m
Final energy in eV per cell: -9.7
V in Å³ per cell: 320


Here is crystalline KCd5Hg7 at its relaxed geometry from the Alexandria database. Energies are from PBE.

Cell lengths 6.1409, 8.0848, 8.0848 Å; angles 83.99, 67.62, 67.62 degrees
With the nearest neighbours (Å) after each atom.
Fractional coordinates of all 13 atoms:
K 0.9929 0.0069 0.0069  10 Hg 3.56-3.85, 4 Cd 3.97-3.99
Cd 0.5020 0.9980 0.4965  7 Hg 3.06-3.32, 3 Cd 3.06-3.13
Cd 0.0038 0.9979 0.4978  7 Hg 3.05-3.35, 3 Cd 3.06-3.11
Cd 0.5020 0.4965 0.9980  7 Hg 3.06-3.32, 3 Cd 3.06-3.13
Cd 0.0038 0.4978 0.9979  7 Hg 3.05-3.35, 3 Cd 3.06-3.11
Cd 0.7426 0.7590 0.7590  4 Cd 3.11-3.13, 6 Hg 3.17-3.24
Hg 0.6300 0.3644 0.3644  3 Hg 3.07-3.38, 4 Cd 3.32-3.35
Hg 0.3423 0.6618 0.6618  1 Hg 3.07, 6 Cd 3.22-3.24
Hg 0.0019 0.3426 0.6559  5 Cd 3.16-3.18, 4 Hg 3.26-3.49
Hg 0.0019 0.6558 0.3426  5 Cd 3.16-3.18, 4 Hg 3.26-3.49
Hg 0.2667 0.2294 0.2294  4 Cd 3.10-3.12, 6 Hg 3.18-3.38
Hg 0.5050 0.8041 0.1857  5 Cd 3.05-3.19, 1 Hg 3.18
Hg 0.5050 0.1858 0.8041  5 Cd 3.05-3.19, 1 Hg 3.18

SG: Cm
Final energy in eV per cell: -8.6
V in Å³ per cell: 343


Here is crystalline K3CdHg at its relaxed geometry from the Alexandria database. Energies are from PBE.

Cell lengths 4.8695, 9.6515, 10.1419 Å; angles 89.62, 89.97, 104.68 degrees
With the nearest neighbours (Å) after each atom.
Fractional coordinates of all 10 atoms:
K 0.0868 0.2059 0.4041  4 Hg 3.60-3.79, 1 Cd 3.79
K 0.4269 0.8868 0.6324  3 Cd 3.54-3.59, 1 Hg 3.60, 1 K 3.90
K 0.6163 0.2667 0.7895  3 Cd 3.54-3.59, 1 Hg 3.60, 1 K 3.90
K 0.9579 0.9482 0.0178  4 Hg 3.60-3.80, 1 Cd 3.80
K 0.2499 0.5335 0.0339  3 Cd 3.76-3.89, 2 Hg 3.90-3.91
K 0.7938 0.6210 0.3868  3 Cd 3.77-3.89, 2 Hg 3.90
Cd 0.2372 0.5080 0.6517  2 Cd 3.00-3.01
Cd 0.8057 0.6455 0.7694  2 Cd 3.00-3.01
Hg 0.4469 0.9267 0.2792  1 Hg 3.13
Hg 0.5985 0.2281 0.1428  1 Hg 3.13

SG: P1
Excess energy over the best structure of this formula in the dataset in eV/atom: 0.000
Final energy in eV per cell: -10.1
V in Å³ per cell: 461


Here is crystalline K2Cd2Hg at its relaxed geometry from the Alexandria database. Energies are from PBE.

Cell lengths 7.9470, 7.9470, 5.6325 Å; angles 90.00, 90.00, 90.00 degrees
With the nearest neighbours (Å) after each atom.
Fractional coordinates of all 10 atoms:
K 0.1781 0.6781 0.5000  6 Cd 3.53-3.76
K 0.6781 0.8219 0.5000  6 Cd 3.53-3.76
K 0.8219 0.3219 0.5000  6 Cd 3.53-3.76
K 0.3219 0.1781 0.5000  6 Cd 3.53-3.76
Hg 0.0000 0.0000 0.0000  4 Cd 3.10
Hg 0.5000 0.5000 0.0000  4 Cd 3.10
Cd 0.3673 0.8673 0.0000  1 Cd 2.98, 2 Hg 3.10
Cd 0.8673 0.6327 0.0000  1 Cd 2.98, 2 Hg 3.10
Cd 0.6327 0.1327 0.0000  1 Cd 2.98, 2 Hg 3.10
Cd 0.1327 0.3673 0.0000  1 Cd 2.98, 2 Hg 3.10

SG: P4/mbm
Excess energy over the best structure of this formula in the dataset in eV/atom: 0.047
Final energy in eV per cell: -9.6
V in Å³ per cell: 356